# 1
{"formula": "CdGe3O", "functional": "PBE", "state": "relaxed", "formation_energy_uncorrected_mev_per_atom": 1235, "lattice": [[-3.419, -3.728, 0.760], [-0.169, -0.871, -5.038], [3.801, -3.392, 0.459]], "species": ["Cd", "Ge", "Ge", "Ge", "O"], "fractional_positions": [[0.000, 0.000, 0.000], [0.000, 0.000, 0.500], [0.500, 0.000, 0.000], [0.000, 0.500, 0.000], [0.500, 0.500, 0.500]]}

=====

# 2
{"formula": "Cd2GeO3", "functional": "PBE", "state": "relaxed", "formation_energy_uncorrected_mev_per_atom": -1022, "lattice": [[3.679, 0.000, 0.000], [0.000, 6.030, -0.004], [-1.840, -1.509, 7.316]], "species": ["Cd", "Cd", "Cd", "Cd", "O", "O", "O", "O", "O", "O", "Ge", "Ge"], "fractional_positions": [[0.678, 0.089, 0.356], [0.678, 0.589, 0.356], [0.322, 0.911, 0.644], [0.322, 0.411, 0.644], [0.500, 0.750, 0.000], [0.089, 0.044, 0.177], [0.089, 0.544, 0.177], [0.911, 0.956, 0.823], [0.911, 0.456, 0.823], [0.500, 0.250, 0.000], [0.000, 0.750, 0.000], [0.000, 0.250, 0.000]]}

=====

# 3
{"formula": "CdGeO2", "functional": "PBE", "state": "relaxed", "formation_energy_uncorrected_mev_per_atom": -743, "lattice": [[-6.131, 1.576, 1.443], [-6.370, -1.233, -0.243], [-5.633, -1.296, 2.958]], "species": ["O", "O", "Cd", "Ge"], "fractional_positions": [[0.099, 0.099, 0.099], [0.901, 0.901, 0.901], [0.500, 0.500, 0.500], [0.000, 0.000, 0.000]]}

=====

# 4
{"formula": "CdGe3O", "functional": "PBE", "state": "relaxed", "formation_energy_uncorrected_mev_per_atom": -15, "lattice": [[4.525, 0.000, 0.000], [0.000, 4.525, 0.000], [0.000, 0.000, 4.525]], "species": ["Ge", "Ge", "Ge", "Cd", "O"], "fractional_positions": [[0.500, 0.000, 0.000], [0.000, 0.500, 0.000], [0.000, 0.000, 0.500], [0.500, 0.500, 0.500], [0.000, 0.000, 0.000]]}

=====

# 5
{"formula": "Cd2Ge2O7", "functional": "PBE", "state": "relaxed", "formation_energy_uncorrected_mev_per_atom": -1139, "lattice": [[6.143, 0.000, 3.547], [2.048, 5.792, 3.547], [0.000, 0.000, 7.093]], "species": ["O", "O", "O", "O", "O", "O", "O", "O", "O", "O", "O", "O", "O", "O", "Ge", "Ge", "Ge", "Ge", "Cd", "Cd", "Cd", "Cd"], "fractional_positions": [[0.448, 0.448, 0.052], [0.052, 0.052, 0.448], [0.448, 0.052, 0.052], [0.448, 0.052, 0.448], [0.802, 0.198, 0.802], [0.198, 0.802, 0.198], [0.198, 0.802, 0.802], [0.802, 0.198, 0.198], [0.750, 0.750, 0.750], [0.802, 0.802, 0.198], [0.198, 0.198, 0.802], [0.052, 0.448, 0.052], [0.500, 0.500, 0.500], [0.052, 0.448, 0.448], [0.125, 0.125, 0.125], [0.125, 0.125, 0.625], [0.625, 0.125, 0.125], [0.125, 0.625, 0.125], [0.625, 0.125, 0.625], [0.625, 0.625, 0.125], [0.625, 0.625, 0.625], [0.125, 0.625, 0.625]]}

=====

# 6
{"formula": "Cd3GeO", "functional": "PBE", "state": "relaxed", "formation_energy_uncorrected_mev_per_atom": -59, "lattice": [[-3.764, -0.583, -2.655], [1.639, -4.104, -1.423], [-2.168, -2.091, 3.533]], "species": ["Cd", "Cd", "Cd", "Ge", "O"], "fractional_positions": [[0.500, 0.000, 0.000], [0.000, 0.500, 0.000], [0.000, 0.000, 0.500], [0.500, 0.500, 0.500], [0.000, 0.000, 0.000]]}

=====

# 7
{"formula": "CdGe2O", "functional": "PBE", "state": "relaxed", "formation_energy_uncorrected_mev_per_atom": 373, "lattice": [[4.214, 0.226, 1.800], [0.557, 1.203, 4.393], [1.349, -3.122, 3.080]], "species": ["Ge", "Ge", "O", "Cd"], "fractional_positions": [[0.250, 0.250, 0.250], [0.750, 0.750, 0.750], [0.000, 0.000, 0.000], [0.500, 0.500, 0.500]]}

=====

# 8
{"formula": "Cd2Ge3O8", "functional": "PBE", "state": "relaxed", "formation_energy_uncorrected_mev_per_atom": -1490, "lattice": [[-4.347, 1.062, -2.267], [-1.738, -5.632, 0.695], [0.318, 3.653, 5.063]], "species": ["Ge", "Ge", "Ge", "O", "O", "O", "O", "O", "O", "O", "O", "Cd", "Cd"], "fractional_positions": [[0.000, 0.263, 0.000], [0.000, 0.737, 0.000], [0.500, 0.000, 0.000], [0.387, 0.881, 0.203], [0.101, 0.903, 0.805], [0.951, 0.605, 0.209], [0.613, 0.678, 0.797], [0.613, 0.119, 0.797], [0.899, 0.097, 0.195], [0.387, 0.322, 0.203], [0.049, 0.395, 0.791], [0.341, 0.279, 0.559], [0.659, 0.721, 0.441]]}